Entry 1:
ZrPaAu4 (GGA-PBE, relaxed); formation enthalpy at 0 K = -0.446 eV per atom; VASP energy = -5.64 eV per atom
1.0
-1.690 -0.748 -2.828
-2.633 -1.887 4.091
-1.625 7.538 0.995
Zr Pa Au
1 1 4
Direct
0.498 0.997 0.502 Zr
0.998 0.497 0.002 Pa
0.152 0.987 0.820 Au
0.844 0.008 0.184 Au
0.674 0.505 0.346 Au
0.322 0.489 0.658 Au


Entry 2:
Cs3SiPd (GGA-PBE, relaxed); formation energy without anion corrections = 0.4767 eV per atom; VASP energy = -2.16 eV per atom
1.0
-2.179 -5.507 -2.863
-0.170 -2.980 5.862
-6.205 2.016 0.845
Cs Si Pd
3 1 1
Direct
0.000 0.500 0.000 Cs
0.000 0.000 0.500 Cs
0.500 0.000 0.000 Cs
0.500 0.500 0.500 Si
0.000 0.000 0.000 Pd


Entry 3:
TcBi4 (GGA-PBE, relaxed); formation enthalpy at 0 K = 0.475 eV per atom; VASP energy = -4.70 eV per atom
1.0
5.342 0.000 0.000
0.000 5.342 0.000
0.000 0.000 5.342
Tc Bi
1 4
Direct
0.500 0.500 0.500 Tc
0.000 0.000 0.000 Bi
0.500 0.000 0.500 Bi
0.000 0.500 0.500 Bi
0.500 0.500 0.000 Bi


Entry 4:
BeReRu (GGA-PBE, relaxed); formation enthalpy at 0 K = -0.042 eV per atom; VASP energy = -8.53 eV per atom
1.0
-3.330 -1.163 -1.948
-0.139 -6.269 3.978
-2.841 2.280 3.495
Re Ru Be
4 4 4
Direct
0.250 0.788 0.427 Re
0.750 0.288 0.073 Re
0.250 0.712 0.927 Re
0.750 0.212 0.573 Re
0.750 0.941 0.201 Ru
0.750 0.559 0.701 Ru
0.250 0.059 0.799 Ru
0.250 0.441 0.299 Ru
0.750 0.614 0.209 Be
0.750 0.886 0.709 Be
0.250 0.114 0.291 Be
0.250 0.386 0.791 Be


Entry 5:
TbSmThIn (GGA-PBE, relaxed); formation enthalpy at 0 K = -0.038 eV per atom; VASP energy = -4.92 eV per atom
1.0
-3.233 -1.685 4.119
0.691 -5.009 2.166
2.063 -0.543 5.070
Tb Sm Th In
1 1 1 1
Direct
0.000 0.000 0.000 Tb
0.500 0.500 0.500 Sm
0.750 0.750 0.750 Th
0.250 0.250 0.250 In


Entry 6:
Sm10Te3Pb3 (GGA-PBE, relaxed); formation energy without anion corrections = -0.8009 eV per atom; VASP energy = -5.03 eV per atom
1.0
-1.870 -5.850 2.015
0.694 -3.214 -8.687
7.329 -0.383 5.693
Sm Te Pb
10 3 3
Direct
0.249 0.667 0.333 Sm
0.249 0.333 0.667 Sm
0.751 0.333 0.667 Sm
0.751 0.667 0.333 Sm
0.500 0.000 0.754 Sm
0.500 0.754 0.000 Sm
0.500 0.246 0.246 Sm
0.000 0.000 0.247 Sm
0.000 0.247 0.000 Sm
0.000 0.753 0.753 Sm
0.000 0.000 0.616 Te
0.000 0.616 0.000 Te
0.000 0.384 0.384 Te
0.500 0.000 0.390 Pb
0.500 0.390 0.000 Pb
0.500 0.610 0.610 Pb


Entry 7:
Li2Mg15Pb2 (GGA-PBE, relaxed); formation enthalpy at 0 K = 0.057 eV per atom; VASP energy = -1.79 eV per atom
1.0
7.737 -0.234 1.542
1.220 7.644 1.542
-0.282 -0.234 7.884
Li Mg Pb
2 15 2
Direct
0.910 0.910 0.910 Li
0.090 0.090 0.090 Li
0.000 0.500 0.000 Mg
0.000 0.000 0.500 Mg
0.500 0.000 0.000 Mg
0.321 0.000 0.679 Mg
0.679 0.321 0.000 Mg
0.000 0.679 0.321 Mg
0.321 0.679 0.000 Mg
0.000 0.321 0.679 Mg
0.679 0.000 0.321 Mg
0.337 0.839 0.337 Mg
0.337 0.337 0.839 Mg
0.839 0.337 0.337 Mg
0.663 0.161 0.663 Mg
0.663 0.663 0.161 Mg
0.161 0.663 0.663 Mg
0.709 0.709 0.709 Pb
0.291 0.291 0.291 Pb


Entry 8:
SrSc3N (GGA-PBE, relaxed); formation energy without anion corrections = -0.2776 eV per atom; VASP energy = -6.08 eV per atom
1.0
-1.300 -4.106 1.992
-1.877 -1.407 -4.125
4.160 -1.918 -1.238
Sc Sr N
3 1 1
Direct
0.000 0.500 0.000 Sc
0.000 0.000 0.500 Sc
0.500 0.000 0.000 Sc
0.500 0.500 0.500 Sr
0.000 0.000 0.000 N


Entry 9:
Cr2InSiSb (GGA-PBE, relaxed); formation energy without anion corrections = 1.8441 eV per atom; VASP energy = -4.46 eV per atom
1.0
4.828 0.000 0.000
0.000 5.520 0.000
0.000 0.000 4.828
Sb Si Cr In
1 1 2 1
Direct
0.000 0.000 0.000 Sb
0.500 0.500 0.500 Si
0.000 0.000 0.500 Cr
0.500 0.000 0.000 Cr
0.000 0.500 0.000 In


Entry 10:
Na2SrN (GGA-PBE, relaxed); formation energy without anion corrections = 0.5900 eV per atom; VASP energy = -2.57 eV per atom
1.0
-4.893 -2.566 4.392
5.012 -3.474 3.553
0.719 1.208 7.177
Sr N Na
2 2 4
Direct
0.000 0.000 0.000 Sr
0.750 0.250 0.500 Sr
0.500 0.500 0.000 N
0.250 0.750 0.500 N
0.375 0.125 0.250 Na
0.375 0.625 0.250 Na
0.375 0.625 0.750 Na
0.875 0.625 0.750 Na


Entry 11:
Zr2VTe6 (GGA-PBE, relaxed); formation energy without anion corrections = -0.6623 eV per atom; VASP energy = -5.67 eV per atom
1.0
3.866 0.000 0.000
-1.933 7.302 -2.686
0.000 -0.167 9.707
Zr V Te
2 1 6
Direct
0.663 0.326 0.827 Zr
0.337 0.674 0.173 Zr
0.000 0.000 0.500 V
0.308 0.617 0.856 Te
0.692 0.383 0.144 Te
0.981 0.961 0.203 Te
0.632 0.263 0.518 Te
0.019 0.039 0.797 Te
0.368 0.737 0.482 Te


Entry 12:
Ba2BeTcB (GGA-PBE, relaxed); formation enthalpy at 0 K = 0.757 eV per atom; VASP energy = -4.17 eV per atom
1.0
-5.717 1.200 -1.088
-0.121 -3.028 -2.701
-1.610 -3.772 4.300
Be B Ba Tc
1 1 2 1
Direct
0.500 0.500 0.500 Be
0.000 0.000 0.000 B
0.000 0.000 0.500 Ba
0.500 0.000 0.000 Ba
0.000 0.500 0.000 Tc


Entry 13:
Cu2PBr (GGA-PBE, relaxed); formation energy without anion corrections = 0.7147 eV per atom; VASP energy = -3.10 eV per atom
1.0
2.635 -3.453 1.195
1.307 -0.458 4.287
-1.669 -3.341 2.519
P Cu Br
1 2 1
Direct
0.000 0.000 0.000 P
0.250 0.250 0.250 Cu
0.750 0.750 0.750 Cu
0.500 0.500 0.500 Br


Entry 14:
Dy2FeAuC (GGA-PBE, relaxed); formation enthalpy at 0 K = -0.520 eV per atom; VASP energy = -6.55 eV per atom
1.0
3.663 0.000 0.000
0.000 4.999 0.000
0.000 0.000 4.999
Dy Fe Au C
2 1 1 1
Direct
0.000 0.000 0.500 Dy
0.000 0.500 0.000 Dy
0.500 0.000 0.000 Fe
0.500 0.500 0.500 Au
0.000 0.000 0.000 C


Entry 15:
RbTlC3 (GGA-PBE, relaxed); formation enthalpy at 0 K = 3.063 eV per atom; VASP energy = -3.14 eV per atom
1.0
4.780 0.000 0.000
0.000 4.780 0.000
0.000 0.000 4.780
Tl C Rb
1 3 1
Direct
0.000 0.000 0.000 Tl
0.000 0.500 0.000 C
0.000 0.000 0.500 C
0.500 0.000 0.000 C
0.500 0.500 0.500 Rb


Entry 16:
Pt2PbW (GGA-PBE, relaxed); formation enthalpy at 0 K = 0.257 eV per atom; VASP energy = -6.93 eV per atom
1.0
-1.930 -1.419 3.654
0.944 -1.818 3.859
0.554 5.679 3.287
Pb Pt W
1 2 1
Direct
0.250 0.250 0.250 Pb
0.006 0.006 0.950 Pt
0.494 0.494 0.550 Pt
0.750 0.750 0.750 W


Entry 17:
TbPr4In3 (GGA-PBE, relaxed); formation enthalpy at 0 K = -0.324 eV per atom; VASP energy = -4.32 eV per atom
1.0
1.385 4.500 2.924
2.808 -0.537 4.748
9.376 1.889 -2.096
Pr Tb In
4 1 3
Direct
0.869 0.869 0.393 Pr
0.382 0.382 0.853 Pr
0.131 0.131 0.607 Pr
0.618 0.618 0.147 Pr
0.000 0.000 0.000 Tb
0.259 0.259 0.223 In
0.741 0.741 0.777 In
0.500 0.500 0.500 In


Entry 18:
BaNdMg2 (GGA-PBE, relaxed); formation enthalpy at 0 K = -0.056 eV per atom; VASP energy = -2.53 eV per atom
1.0
4.070 0.000 0.000
0.000 4.070 0.000
0.000 0.000 8.390
Mg Nd Ba
2 1 1
Direct
0.000 0.000 0.790 Mg
0.000 0.000 0.210 Mg
0.500 0.500 0.000 Nd
0.500 0.500 0.500 Ba


Entry 19:
CoCu2Os (GGA-PBE, relaxed); formation enthalpy at 0 K = 0.260 eV per atom; VASP energy = -6.37 eV per atom
1.0
-5.907 -6.337 -0.926
-5.449 -6.600 1.629
-7.194 -4.851 0.791
Co Cu Os
1 2 1
Direct
0.750 0.750 0.750 Co
0.003 0.003 0.003 Cu
0.497 0.497 0.497 Cu
0.250 0.250 0.250 Os


Entry 20:
ZrMnGe3 (GGA-PBE, relaxed); formation enthalpy at 0 K = 1.315 eV per atom; VASP energy = -5.00 eV per atom
1.0
5.125 0.000 0.000
0.000 5.125 0.000
0.000 0.000 5.125
Ge Mn Zr
3 1 1
Direct
0.000 0.500 0.000 Ge
0.000 0.000 0.500 Ge
0.500 0.000 0.000 Ge
0.500 0.500 0.500 Mn
0.000 0.000 0.000 Zr


Number 1: spin magnetization 0.998 μB/cell. Number 2: spin magnetization 2.923 μB/cell. Number 3: spin magnetization 0.000 μB/cell. Number 4: spin magnetization 0.000 μB/cell. Number 5: spin magnetization 0.002 μB/cell. Number 6: spin magnetization 0.006 μB/cell. Number 7: spin magnetization 0.000 μB/cell. Number 8: spin magnetization 0.000 μB/cell. Number 9: spin magnetization 0.163 μB/cell. Number 10: spin magnetization 0.000 μB/cell. Number 11: spin magnetization 1.571 μB/cell. Number 12: spin magnetization 1.024 μB/cell. Number 13: spin magnetization 0.000 μB/cell. Number 14: spin magnetization 0.256 μB/cell. Number 15: spin magnetization 5.156 μB/cell. Number 16: spin magnetization 0.000 μB/cell. Number 17: spin magnetization 0.026 μB/cell. Number 18: spin magnetization 0.000 μB/cell. Number 19: spin magnetization 1.707 μB/cell. Number 20: spin magnetization 0.634 μB/cell.